(1)
Density functional theory data (PBE-GGA) for an optimized crystal structure of YGeSe3.

```
YGeSe3
1.0
4.978 0.000 0.000
0.000 4.978 0.000
0.000 0.000 4.978
Y Ge Se
1 1 3
direct
0.000 0.000 0.000
0.500 0.500 0.500
0.000 0.500 0.500
0.500 0.000 0.500
0.500 0.500 0.000
```

Results
* distance to the lowest polymorph of the same formula: 0.5278 eV per atom
* calculated density: 5.362 g cm⁻³
* SG: Pm-3m (221)
* crystal system: cubic



(2)
Density functional theory data (PBE-GGA) for an optimized crystal structure of Cd2NiCl.

```
Cd2NiCl
1.0
4.982 0.000 0.000
0.000 4.982 0.000
0.000 0.000 3.086
Cd Ni Cl
2 1 1
direct
0.000 0.500 0.000
0.500 0.000 0.000
0.000 0.000 0.500
0.500 0.500 0.500
```

Results
* distance to the lowest polymorph of the same formula: 0.2361 eV per atom
* calculated density: 6.915 g cm⁻³
* SG: P4/mmm (123)
* crystal system: tetragonal



Which of these has the highest calculated density?
Cd2NiCl